[1]
Here is a geometry-optimized TaRuS2 structure from the Alexandria database. Energies are from GGA-PBE.

Values from the calculation:
- Excess energy over the best structure of this formula in the dataset: 0.00 eV per formula unit
- ΔE_f (raw): -350 meV per atom

Lattice parameters (Å, degrees): 8.1180 8.1180 8.1180 22.13 22.13 22.13
Fractional positions:
Ru 0.0000 0.0000 0.0000
S 0.9047 0.9047 0.9047
S 0.0953 0.0953 0.0953
Ta 0.5000 0.5000 0.5000

[2]
Here is a geometry-optimized Cr2AgRh structure from the Alexandria database. Energies are from GGA-PBE.

Values from the calculation:
- ΔE_f: 0.373 eV per atom

Lattice parameters (Å, degrees): 2.6544 2.6544 7.9228 90.00 90.00 90.03
Fractional positions:
Ag 0.5000 0.5000 0.7500
Cr 0.0000 0.0000 0.0192
Cr 0.0000 0.0000 0.4808
Rh 0.5000 0.5000 0.2500

[3]
Here is a geometry-optimized TbScInSn structure from the Alexandria database. Energies are from GGA-PBE.

Values from the calculation:
- ΔE_f: -0.457 eV per atom

Lattice parameters (Å, degrees): 5.2107 5.2107 5.2107 60.00 60.00 60.00
Fractional positions:
Sc 0.0000 0.0000 0.0000
Tb 0.5000 0.5000 0.5000
Sn 0.2500 0.2500 0.2500
In 0.7500 0.7500 0.7500

[4]
Here is a geometry-optimized Ba3NbRe structure from the Alexandria database. Energies are from GGA-PBE.

Values from the calculation:
- Excess energy over the best structure of this formula in the dataset: 0.00 eV per formula unit
- ΔE_f: 1.423 eV per atom

Lattice parameters (Å, degrees): 5.9374 5.9374 5.9374 90.00 90.00 90.00
Fractional positions:
Re 0.0000 0.0000 0.0000
Nb 0.5000 0.5000 0.5000
Ba 0.0000 0.5000 0.0000
Ba 0.0000 0.0000 0.5000
Ba 0.5000 0.0000 0.0000

[5]
Here is a geometry-optimized MnTlTe2 structure from the Alexandria database. Energies are from GGA-PBE.

Values from the calculation:
- ΔE_f (raw): 208 meV per atom

Lattice parameters (Å, degrees): 8.3602 8.3602 8.3602 151.15 151.15 41.26
Fractional positions:
Mn 0.7500 0.2500 0.5000
Te 0.0000 0.0000 0.0000
Te 0.2500 0.7500 0.5000
Tl 0.5000 0.5000 0.0000

[6]
Here is a geometry-optimized Ca3Mg structure from the Alexandria database. Energies are from GGA-PBE.

Values from the calculation:
- ΔE_f: 0.039 eV per atom

Lattice parameters (Å, degrees): 6.6577 6.6577 6.6577 90.00 90.00 90.00
Fractional positions:
Ca 0.0000 0.2500 0.5000
Ca 0.0000 0.7500 0.5000
Ca 0.2500 0.5000 0.0000
Ca 0.5000 0.0000 0.2500
Ca 0.5000 0.0000 0.7500
Ca 0.7500 0.5000 0.0000
Mg 0.0000 0.0000 0.0000
Mg 0.5000 0.5000 0.5000

What is the formula in the sixth record? Ca3Mg

What is the formula in the fourth record? Ba3NbRe